[1]
Here is a geometry-optimized K2RbCd2Sb2 structure from the Alexandria database. Energies are from GGA-PBE.

```
data_K2RbCd2Sb2
_cell_length_a 11.646
_cell_length_b 11.646
_cell_length_c 11.646
_cell_angle_alpha 25.84
_cell_angle_beta 25.84
_cell_angle_gamma 25.84
_symmetry_space_group_name_H-M 'P 1'
_symmetry_Int_Tables_number 1
loop_
_symmetry_equiv_pos_as_xyz
'x,y,z'
loop_
_atom_site_label
_atom_site_fract_x
_atom_site_fract_y
_atom_site_fract_z
_atom_site_occupancy
K1 0.136 0.136 0.136 1
K2 0.864 0.864 0.864 1
Rb1 0.000 0.000 0.000 1
Cd1 0.414 0.414 0.414 1
Cd2 0.586 0.586 0.586 1
Sb1 0.253 0.253 0.253 1
Sb2 0.747 0.747 0.747 1
```

Symmetry   R-3m
Energy relative to the elements, uncorrected   -0.30 eV per atom

=====

[2]
Here is a geometry-optimized KRb2CdSb2 structure from the Alexandria database. Energies are from GGA-PBE.

```
data_KRb2CdSb2
_cell_length_a 9.846
_cell_length_b 9.846
_cell_length_c 9.846
_cell_angle_alpha 128.91
_cell_angle_beta 70.26
_cell_angle_gamma 135.20
_symmetry_space_group_name_H-M 'P 1'
_symmetry_Int_Tables_number 1
loop_
_symmetry_equiv_pos_as_xyz
'x,y,z'
loop_
_atom_site_label
_atom_site_fract_x
_atom_site_fract_y
_atom_site_fract_z
_atom_site_occupancy
K1 0.250 0.250 0.000 1
K2 0.750 0.750 0.000 1
Rb1 0.173 0.709 0.883 1
Rb2 0.327 0.209 0.536 1
Rb3 0.673 0.791 0.464 1
Rb4 0.827 0.291 0.117 1
Cd1 0.250 0.750 0.500 1
Cd2 0.750 0.250 0.500 1
Sb1 0.096 0.301 0.398 1
Sb2 0.404 0.801 0.205 1
Sb3 0.596 0.199 0.795 1
Sb4 0.904 0.699 0.602 1
```

Symmetry   Ibam
Energy relative to the elements, uncorrected   -0.33 eV per atom

=====

[3]
Here is a geometry-optimized K2Rb4CdSb2 structure from the Alexandria database. Energies are from GGA-PBE.

```
data_K2Rb4CdSb2
_cell_length_a 9.320
_cell_length_b 9.320
_cell_length_c 5.803
_cell_angle_alpha 102.68
_cell_angle_beta 102.68
_cell_angle_gamma 70.62
_symmetry_space_group_name_H-M 'P 1'
_symmetry_Int_Tables_number 1
loop_
_symmetry_equiv_pos_as_xyz
'x,y,z'
loop_
_atom_site_label
_atom_site_fract_x
_atom_site_fract_y
_atom_site_fract_z
_atom_site_occupancy
K1 0.141 0.141 0.182 1
K2 0.859 0.859 0.818 1
Rb1 0.146 0.580 0.327 1
Rb2 0.420 0.854 0.673 1
Rb3 0.580 0.146 0.327 1
Rb4 0.854 0.420 0.673 1
Cd1 0.500 0.500 0.000 1
Sb1 0.311 0.311 0.796 1
Sb2 0.689 0.689 0.204 1
```

Symmetry   C2/m
Energy relative to the elements, uncorrected   -0.26 eV per atom

=====

[4]
Here is a geometry-optimized KRb2CdSe structure from the Alexandria database. Energies are from GGA-PBE.

```
data_KRb2CdSe
_cell_length_a 6.669
_cell_length_b 6.669
_cell_length_c 6.305
_cell_angle_alpha 90.00
_cell_angle_beta 90.00
_cell_angle_gamma 90.00
_symmetry_space_group_name_H-M 'P 1'
_symmetry_Int_Tables_number 1
loop_
_symmetry_equiv_pos_as_xyz
'x,y,z'
loop_
_atom_site_label
_atom_site_fract_x
_atom_site_fract_y
_atom_site_fract_z
_atom_site_occupancy
K1 0.000 0.000 0.000 1
Rb1 0.000 0.500 0.500 1
Rb2 0.500 0.000 0.500 1
Cd1 0.500 0.500 0.000 1
Se1 0.000 0.000 0.500 1
```

Symmetry   P4/mmm
Energy relative to the elements, uncorrected   -0.50 eV per atom

=====

[5]
Here is a geometry-optimized K2RbCdSe structure from the Alexandria database. Energies are from GGA-PBE.

```
data_K2RbCdSe
_cell_length_a 6.320
_cell_length_b 6.320
_cell_length_c 6.675
_cell_angle_alpha 90.00
_cell_angle_beta 90.00
_cell_angle_gamma 90.00
_symmetry_space_group_name_H-M 'P 1'
_symmetry_Int_Tables_number 1
loop_
_symmetry_equiv_pos_as_xyz
'x,y,z'
loop_
_atom_site_label
_atom_site_fract_x
_atom_site_fract_y
_atom_site_fract_z
_atom_site_occupancy
K1 0.000 0.500 0.000 1
K2 0.500 0.000 0.000 1
Rb1 0.000 0.000 0.500 1
Cd1 0.500 0.500 0.500 1
Se1 0.000 0.000 0.000 1
```

Symmetry   P4/mmm
Energy relative to the elements, uncorrected   -0.51 eV per atom

=====

[6]
Here is a geometry-optimized KRbCdSe2 structure from the Alexandria database. Energies are from GGA-PBE.

```
data_KRbCdSe2
_cell_length_a 6.032
_cell_length_b 8.187
_cell_length_c 7.129
_cell_angle_alpha 90.00
_cell_angle_beta 90.00
_cell_angle_gamma 90.00
_symmetry_space_group_name_H-M 'P 1'
_symmetry_Int_Tables_number 1
loop_
_symmetry_equiv_pos_as_xyz
'x,y,z'
loop_
_atom_site_label
_atom_site_fract_x
_atom_site_fract_y
_atom_site_fract_z
_atom_site_occupancy
K1 0.250 0.000 0.073 1
K2 0.750 0.000 0.927 1
Rb1 0.250 0.500 0.307 1
Rb2 0.750 0.500 0.693 1
Cd1 0.000 0.000 0.500 1
Cd2 0.500 0.000 0.500 1
Se1 0.250 0.230 0.700 1
Se2 0.250 0.770 0.700 1
Se3 0.750 0.230 0.300 1
Se4 0.750 0.770 0.300 1
```

Symmetry   Pmma
Energy relative to the elements, uncorrected   -0.73 eV per atom

=====

[7]
Here is a geometry-optimized K4Rb2CdSn2 structure from the Alexandria database. Energies are from GGA-PBE.

```
data_K4Rb2CdSn2
_cell_length_a 8.827
_cell_length_b 8.827
_cell_length_c 6.439
_cell_angle_alpha 101.49
_cell_angle_beta 101.49
_cell_angle_gamma 59.10
_symmetry_space_group_name_H-M 'P 1'
_symmetry_Int_Tables_number 1
loop_
_symmetry_equiv_pos_as_xyz
'x,y,z'
loop_
_atom_site_label
_atom_site_fract_x
_atom_site_fract_y
_atom_site_fract_z
_atom_site_occupancy
K1 0.089 0.648 0.808 1
K2 0.352 0.911 0.192 1
K3 0.648 0.089 0.808 1
K4 0.911 0.352 0.192 1
Rb1 0.355 0.355 0.298 1
Rb2 0.645 0.645 0.702 1
Cd1 0.000 0.000 0.500 1
Sn1 0.179 0.179 0.727 1
Sn2 0.821 0.821 0.273 1
```

Symmetry   C2/m
Energy of formation   -81 kJ/mol of formula units

=====

[8]
Here is a geometry-optimized K2RbCdSn structure from the Alexandria database. Energies are from GGA-PBE.

```
data_K2RbCdSn
_cell_length_a 6.961
_cell_length_b 6.961
_cell_length_c 5.596
_cell_angle_alpha 90.00
_cell_angle_beta 90.00
_cell_angle_gamma 90.00
_symmetry_space_group_name_H-M 'P 1'
_symmetry_Int_Tables_number 1
loop_
_symmetry_equiv_pos_as_xyz
'x,y,z'
loop_
_atom_site_label
_atom_site_fract_x
_atom_site_fract_y
_atom_site_fract_z
_atom_site_occupancy
K1 0.000 0.500 0.000 1
K2 0.500 0.000 0.000 1
Rb1 0.000 0.000 0.500 1
Cd1 0.500 0.500 0.500 1
Sn1 0.500 0.500 0.000 1
```

Symmetry   P4/mmm
Energy of formation   1 kJ/mol of formula units

=====

[9]
Here is a geometry-optimized KRb2SrCd structure from the Alexandria database. Energies are from GGA-PBE.

```
data_KRb2SrCd
_cell_length_a 7.155
_cell_length_b 7.155
_cell_length_c 6.721
_cell_angle_alpha 90.00
_cell_angle_beta 90.00
_cell_angle_gamma 90.00
_symmetry_space_group_name_H-M 'P 1'
_symmetry_Int_Tables_number 1
loop_
_symmetry_equiv_pos_as_xyz
'x,y,z'
loop_
_atom_site_label
_atom_site_fract_x
_atom_site_fract_y
_atom_site_fract_z
_atom_site_occupancy
K1 0.000 0.000 0.000 1
Rb1 0.000 0.500 0.500 1
Rb2 0.500 0.000 0.500 1
Sr1 0.500 0.500 0.000 1
Cd1 0.500 0.500 0.500 1
```

Symmetry   P4/mmm
Energy of formation   34 kJ/mol of formula units

=====

[10]
Here is a geometry-optimized K2RbTlCd2 structure from the Alexandria database. Energies are from GGA-PBE.

```
data_K2RbTlCd2
_cell_length_a 5.747
_cell_length_b 9.632
_cell_length_c 9.117
_cell_angle_alpha 90.00
_cell_angle_beta 90.00
_cell_angle_gamma 90.00
_symmetry_space_group_name_H-M 'P 1'
_symmetry_Int_Tables_number 1
loop_
_symmetry_equiv_pos_as_xyz
'x,y,z'
loop_
_atom_site_label
_atom_site_fract_x
_atom_site_fract_y
_atom_site_fract_z
_atom_site_occupancy
K1 0.000 0.112 0.000 1
K2 0.000 0.888 0.500 1
K3 0.500 0.156 0.355 1
K4 0.500 0.844 0.855 1
Rb1 0.500 0.458 0.029 1
Rb2 0.500 0.542 0.529 1
Tl1 0.000 0.284 0.629 1
Tl2 0.000 0.716 0.129 1
Cd1 0.000 0.419 0.302 1
Cd2 0.000 0.581 0.802 1
Cd3 0.500 0.193 0.734 1
Cd4 0.500 0.807 0.234 1
```

Symmetry   Pmc2_1
Energy of formation   -19 kJ/mol of formula units

=====

[11]
Here is a geometry-optimized K2RbTl5Cd2 structure from the Alexandria database. Energies are from GGA-PBE.

```
data_K2RbTl5Cd2
_cell_length_a 12.274
_cell_length_b 12.274
_cell_length_c 4.717
_cell_angle_alpha 90.00
_cell_angle_beta 90.00
_cell_angle_gamma 90.00
_symmetry_space_group_name_H-M 'P 1'
_symmetry_Int_Tables_number 1
loop_
_symmetry_equiv_pos_as_xyz
'x,y,z'
loop_
_atom_site_label
_atom_site_fract_x
_atom_site_fract_y
_atom_site_fract_z
_atom_site_occupancy
K1 0.176 0.324 0.000 1
K2 0.324 0.824 0.000 1
K3 0.676 0.176 0.000 1
K4 0.824 0.676 0.000 1
Rb1 0.000 0.000 0.000 1
Rb2 0.500 0.500 0.000 1
Tl1 0.000 0.500 0.500 1
Tl2 0.061 0.778 0.500 1
Tl3 0.222 0.061 0.500 1
Tl4 0.278 0.561 0.500 1
Tl5 0.439 0.278 0.500 1
Tl6 0.500 0.000 0.500 1
Tl7 0.561 0.722 0.500 1
Tl8 0.722 0.439 0.500 1
Tl9 0.778 0.939 0.500 1
Tl10 0.939 0.222 0.500 1
Cd1 0.122 0.622 0.000 1
Cd2 0.378 0.122 0.000 1
Cd3 0.622 0.878 0.000 1
Cd4 0.878 0.378 0.000 1
```

Symmetry   P4/mbm
Energy of formation   -58 kJ/mol of formula units

=====

[12]
Here is a geometry-optimized KRbTl3Cd structure from the Alexandria database. Energies are from GGA-PBE.

```
data_KRbTl3Cd
_cell_length_a 10.806
_cell_length_b 10.806
_cell_length_c 5.732
_cell_angle_alpha 90.03
_cell_angle_beta 90.03
_cell_angle_gamma 140.39
_symmetry_space_group_name_H-M 'P 1'
_symmetry_Int_Tables_number 1
loop_
_symmetry_equiv_pos_as_xyz
'x,y,z'
loop_
_atom_site_label
_atom_site_fract_x
_atom_site_fract_y
_atom_site_fract_z
_atom_site_occupancy
K1 0.161 0.839 0.750 1
K2 0.839 0.161 0.250 1
Rb1 0.446 0.554 0.250 1
Rb2 0.554 0.446 0.750 1
Tl1 0.038 0.962 0.250 1
Tl2 0.121 0.453 0.748 1
Tl3 0.453 0.121 0.248 1
Tl4 0.547 0.879 0.752 1
Tl5 0.879 0.547 0.252 1
Tl6 0.962 0.038 0.750 1
Cd1 0.275 0.725 0.250 1
Cd2 0.725 0.275 0.750 1
```

Symmetry   C2/c
Energy of formation   -40 kJ/mol of formula units

=====

| no. | uncorrected energy (eV per atom) |
| --- | --- |
| 1 | -2.19 |
| 2 | -2.36 |
| 3 | -1.96 |
| 4 | -1.99 |
| 5 | -2.02 |
| 6 | -2.72 |
| 7 | -1.79 |
| 8 | -1.61 |
| 9 | -1.06 |
| 10 | -1.26 |
| 11 | -1.74 |
| 12 | -1.75 |